CeH2 PBEsol relaxed; spin magnetization = 0.2260 μB/atom; space group = Fm-3m; raw total energy = -4.887 eV per atom; ρ = 6.136 g cm⁻³
1.0
5.358 0.000 0.000
0.000 5.358 0.000
0.000 0.000 5.358
Ce H
4 8
Direct
0.000 0.000 0.000
0.000 0.500 0.500
0.500 0.000 0.500
0.500 0.500 0.000
0.250 0.250 0.250
0.250 0.250 0.750
0.250 0.750 0.250
0.250 0.750 0.750
0.750 0.250 0.250
0.750 0.250 0.750
0.750 0.750 0.250
0.750 0.750 0.750

InGeRu3 PBEsol relaxed; spin magnetization = 0.8026 μB/atom; space group = Pm-3m; raw total energy = -5.434 eV per atom; calculated formation energy = 11.267 eV per formula unit; ρ = 7.479 g cm⁻³
1.0
4.776 0.000 0.000
0.000 4.776 0.000
0.000 0.000 4.776
In Ge Ru
1 1 3
Direct
0.000 0.000 0.000
0.500 0.500 0.500
0.000 0.000 0.500
0.000 0.500 0.000
0.500 0.000 0.000

Cd2TcOs PBEsol relaxed; spin magnetization = 0.0000 μB/atom; space group = F-43m; distance to the lowest polymorph of the same formula = 0.11 eV/f.u.; raw total energy = -5.873 eV per atom; calculated formation energy = 2.384 eV per formula unit; ρ = 13.179 g cm⁻³
1.0
6.371 0.000 0.000
0.000 6.371 0.000
0.000 0.000 6.371
Cd Tc Os
8 4 4
Direct
0.000 0.000 0.000
0.000 0.500 0.500
0.250 0.250 0.250
0.250 0.750 0.750
0.500 0.000 0.500
0.500 0.500 0.000
0.750 0.250 0.750
0.750 0.750 0.250
0.250 0.250 0.750
0.250 0.750 0.250
0.750 0.250 0.250
0.750 0.750 0.750
0.000 0.000 0.500
0.000 0.500 0.000
0.500 0.000 0.000
0.500 0.500 0.500